CaFeCu4 | PBE-GGA | optimized geometry

CIF file:
```
data_CaFeCu4
_symmetry_space_group_name_H-M 'P 1'
_symmetry_Int_Tables_number 1
_cell_length_a 5.013
_cell_length_b 5.013
_cell_length_c 5.013
_cell_angle_alpha 60.00
_cell_angle_beta 60.00
_cell_angle_gamma 60.00
loop_
_symmetry_equiv_pos_as_xyz
'x,y,z'
loop_
_atom_site_label
_atom_site_type_symbol
_atom_site_fract_x
_atom_site_fract_y
_atom_site_fract_z
Ca1 Ca 0.000 0.000 0.000
Fe1 Fe 0.750 0.750 0.750
Cu1 Cu 0.872 0.376 0.376
Cu2 Cu 0.376 0.376 0.872
Cu3 Cu 0.376 0.872 0.376
Cu4 Cu 0.376 0.376 0.376
```

Values from the calculation:
* formation energy from the elements: 0.13 eV/atom
* SG: No. 216
* total moment: 2.6 μB/f.u.

=====

FePt2Au | PBE-GGA | optimized geometry

CIF file:
```
data_FePt2Au
_symmetry_space_group_name_H-M 'P 1'
_symmetry_Int_Tables_number 1
_cell_length_a 2.806
_cell_length_b 2.806
_cell_length_c 7.855
_cell_angle_alpha 90.00
_cell_angle_beta 90.00
_cell_angle_gamma 90.00
loop_
_symmetry_equiv_pos_as_xyz
'x,y,z'
loop_
_atom_site_label
_atom_site_type_symbol
_atom_site_fract_x
_atom_site_fract_y
_atom_site_fract_z
Au1 Au 0.500 0.500 0.250
Fe1 Fe 0.500 0.500 0.750
Pt1 Pt 0.000 0.000 0.974
Pt2 Pt 0.000 0.000 0.526
```

Values from the calculation:
* formation energy from the elements: -0.14 eV/atom
* SG: No. 123
* total moment: 3.6 μB/f.u.
* relative energy among the computed polymorphs: 6 meV/atom

=====

Os4C5 | PBE-GGA | optimized geometry

CIF file:
```
data_Os4C5
_symmetry_space_group_name_H-M 'P 1'
_symmetry_Int_Tables_number 1
_cell_length_a 6.015
_cell_length_b 6.015
_cell_length_c 6.015
_cell_angle_alpha 93.11
_cell_angle_beta 93.11
_cell_angle_gamma 153.06
loop_
_symmetry_equiv_pos_as_xyz
'x,y,z'
loop_
_atom_site_label
_atom_site_type_symbol
_atom_site_fract_x
_atom_site_fract_y
_atom_site_fract_z
Os1 Os 0.744 0.000 0.744
Os2 Os 0.256 0.000 0.256
Os3 Os 0.000 0.256 0.256
Os4 Os 0.000 0.744 0.744
C1 C 0.000 0.000 0.000
C2 C 0.673 0.327 0.000
C3 C 0.327 0.673 0.000
C4 C 0.327 0.327 0.654
C5 C 0.673 0.673 0.346
```

Values from the calculation:
* formation energy from the elements: 1.85 eV/atom
* SG: No. 139
* total moment: 0.0 μB/f.u.
* relative energy among the computed polymorphs: 367 meV/atom

=====

Nd3Er2ThTe6 | PBE-GGA | optimized geometry

CIF file:
```
data_Nd3Er2ThTe6
_symmetry_space_group_name_H-M 'P 1'
_symmetry_Int_Tables_number 1
_cell_length_a 4.371
_cell_length_b 8.996
_cell_length_c 9.857
_cell_angle_alpha 100.99
_cell_angle_beta 102.81
_cell_angle_gamma 90.00
loop_
_symmetry_equiv_pos_as_xyz
'x,y,z'
loop_
_atom_site_label
_atom_site_type_symbol
_atom_site_fract_x
_atom_site_fract_y
_atom_site_fract_z
Nd1 Nd 0.500 0.500 0.000
Nd2 Nd 0.843 0.163 0.687
Nd3 Nd 0.157 0.837 0.313
Er1 Er 0.834 0.665 0.669
Er2 Er 0.166 0.335 0.331
Th1 Th 0.500 0.000 0.000
Te1 Te 0.328 0.900 0.657
Te2 Te 0.671 0.580 0.342
Te3 Te 0.672 0.100 0.343
Te4 Te 0.008 0.256 0.016
Te5 Te 0.992 0.744 0.984
Te6 Te 0.329 0.420 0.658
```

Values from the calculation:
* SG: No. 12
* uncorrected formation energy: -1.28 eV per atom
* total moment: 0.0 μB/f.u.

=====

Repeat the second record exactly.
FePt2Au | PBE-GGA | optimized geometry

CIF file:
```
data_FePt2Au
_symmetry_space_group_name_H-M 'P 1'
_symmetry_Int_Tables_number 1
_cell_length_a 2.806
_cell_length_b 2.806
_cell_length_c 7.855
_cell_angle_alpha 90.00
_cell_angle_beta 90.00
_cell_angle_gamma 90.00
loop_
_symmetry_equiv_pos_as_xyz
'x,y,z'
loop_
_atom_site_label
_atom_site_type_symbol
_atom_site_fract_x
_atom_site_fract_y
_atom_site_fract_z
Au1 Au 0.500 0.500 0.250
Fe1 Fe 0.500 0.500 0.750
Pt1 Pt 0.000 0.000 0.974
Pt2 Pt 0.000 0.000 0.526
```

Values from the calculation:
* formation energy from the elements: -0.14 eV/atom
* SG: No. 123
* total moment: 3.6 μB/f.u.
* relative energy among the computed polymorphs: 6 meV/atom

=====

Number 4 is which compound?
Nd3Er2ThTe6